VASP calculation (PBE) on KSrZn2 after structural relaxation.

Results
DFT total energy, eV for the cell shown: -5.1
Energy relative to the elements, eV per atom: 0.059
Symmetry: Cmmm

Lattice parameters (Å, degrees): 8.9936 5.7359 3.8977 89.97 64.36 129.57
Fractional positions:
Sr1 0.5000 0.5000 0.0000
K1 0.0000 0.5000 0.5000
Zn1 0.5000 0.0000 0.5000
Zn2 0.0000 0.0000 0.0000

VASP calculation (PBE) on ScInHg6 after structural relaxation.

Results
DFT total energy, eV for the cell shown: -11.5
Energy relative to the elements, eV per atom: -0.081
Symmetry: P4/mmm

Lattice parameters (Å, degrees): 4.6186 4.6186 8.9523 90.00 90.00 90.00
Fractional positions:
Hg1 0.5000 0.0000 0.7396
Hg2 0.5000 0.0000 0.2604
Hg3 0.0000 0.5000 0.2604
Hg4 0.0000 0.5000 0.7396
Hg5 0.5000 0.5000 0.0000
Hg6 0.5000 0.5000 0.5000
In1 0.0000 0.0000 0.0000
Sc1 0.0000 0.0000 0.5000

VASP calculation (PBE) on La2CdPd after structural relaxation.

Results
DFT total energy, eV for the cell shown: -17.7
Energy relative to the elements, eV per atom: -0.428
Symmetry: R3m

Lattice parameters (Å, degrees): 4.2703 4.2703 8.3904 75.26 75.26 60.00
Fractional positions:
La1 0.0694 0.0694 0.7919
La2 0.2647 0.2647 0.2059
Pd1 0.6658 0.6658 0.0026
Cd1 0.5002 0.5002 0.4995

VASP calculation (PBE) on Ce2Th2Ga4Pd after structural relaxation.

Results
DFT total energy, eV for the cell shown: -47.1
Energy relative to the elements, eV per atom: -0.348
Symmetry: I4/mmm

Lattice parameters (Å, degrees): 6.5914 6.5914 6.5914 104.22 112.16 112.16
Fractional positions:
Ga1 0.0000 0.2394 0.7606
Ga2 0.4788 0.2394 0.2394
Ga3 0.0000 0.7606 0.2394
Ga4 0.5212 0.7606 0.7606
Pd1 0.0000 0.0000 0.0000
Th1 0.5000 0.7500 0.2500
Th2 0.5000 0.2500 0.7500
Ce1 0.0000 0.6680 0.6680
Ce2 0.0000 0.3320 0.3320

Q: What is the formula in the second record?
A: ScInHg6

Q: The highest DFT total energy belongs to which entry?
A: KSrZn2

Q: Among the records above, which one has the highest DFT total energy?
A: KSrZn2